(1)
A plane-wave DFT calculation with GGA-PBE was carried out for an optimized crystal structure of HoCdGaO4.

Lattice parameters (Å, degrees): 6.4412 6.4412 6.4412 121.83 117.97 90.21
Last column: nearest neighbours and their distance in Å.
Fractional coordinates of all 14 atoms:
Ho  0.0000  0.0000  0.0000  6 O 2.27
Ho  0.5000  0.0000  0.5000  6 O 2.27
Cd  0.5000  0.0000  0.0000  6 O 2.35-2.36
Cd  0.5000  0.5000  0.5000  6 O 2.35-2.36
Ga  0.1204  0.3704  0.7500  4 O 1.91-1.93
Ga  0.8796  0.6296  0.2500  4 O 1.91-1.93
O  0.2337  0.2490  0.9847  1 Ga 1.91
O  0.2357  0.7510  0.4847  1 Ga 1.91
O  0.2418  0.2399  0.4981  1 Ga 1.93
O  0.2418  0.7437  0.0019  1 Ga 1.93
O  0.7582  0.2563  0.9981  1 Ga 1.93
O  0.7582  0.7601  0.5019  1 Ga 1.93
O  0.7643  0.2490  0.5153  1 Ga 1.91
O  0.7663  0.7510  0.0153  1 Ga 1.91

Results
Raw formation energy   -2.16 eV per atom

=====

(2)
A plane-wave DFT calculation with GGA-PBE was carried out for an optimized crystal structure of Ba2Be2As2O.

Lattice parameters (Å, degrees): 6.0665 6.0665 7.6309 122.51 122.51 39.53
Last column: nearest neighbours and their distance in Å.
Fractional coordinates of all 7 atoms:
Ba  0.0414  0.0414  0.2984  2 O 2.90, 2 Be 3.18, 1 As 3.19
Ba  0.9586  0.9586  0.7016  2 O 2.90, 2 Be 3.18, 1 As 3.19
Be  0.3388  0.3388  0.9253  1 O 1.59
Be  0.6612  0.6612  0.0747  1 O 1.59
As  0.2903  0.2903  0.2260  3 Be 2.40-2.65
As  0.7097  0.7097  0.7740  3 Be 2.40-2.65
O  0.5000  0.5000  0.0000  2 Be 1.59

Results
Raw formation energy   -1.29 eV per atom

=====

(3)
A plane-wave DFT calculation with GGA-PBE was carried out for an optimized crystal structure of Cd2In2Hg2Bi.

Lattice parameters (Å, degrees): 5.4106 5.4106 10.0178 113.47 113.47 48.15
Last column: nearest neighbours and their distance in Å.
Fractional coordinates of all 7 atoms:
Cd  0.2398  0.2398  0.3631  3 Hg 3.12-3.41, 3 Bi 3.21, 2 In 3.29, 2 Cd 3.46
Cd  0.7602  0.7602  0.6369  3 Hg 3.12-3.41, 3 Bi 3.21, 2 In 3.29, 2 Cd 3.46
In  0.2536  0.2536  0.8781  4 Hg 3.04-3.21, 2 Cd 3.29, 2 In 3.32
In  0.7464  0.7464  0.1219  4 Hg 3.04-3.21, 2 Cd 3.29, 2 In 3.32
Hg  0.4953  0.4953  0.2198  4 In 3.04-3.21, 2 Cd 3.12
Hg  0.5047  0.5047  0.7802  4 In 3.04-3.21, 2 Cd 3.12
Bi  0.0000  0.0000  0.5000  6 Cd 3.21, 2 In 3.51, 4 Hg 3.56

Results
DFT formation energy   0.0550 eV/atom

=====

(4)
A plane-wave DFT calculation with GGA-PBE was carried out for an optimized crystal structure of TlNiOs2.

Lattice parameters (Å, degrees): 4.4477 4.4477 4.4477 60.00 60.00 60.00
Last column: nearest neighbours and their distance in Å.
Fractional coordinates of all 4 atoms:
Tl  0.0000  0.0000  0.0000  4 Ni 2.72, 4 Os 2.72
Ni  0.7500  0.7500  0.7500  4 Os 2.72, 4 Tl 2.72
Os  0.2500  0.2500  0.2500  4 Os 2.72, 4 Tl 2.72
Os  0.5000  0.5000  0.5000  4 Ni 2.72, 4 Os 2.72

Results
DFT formation energy   0.8721 eV/atom
Energy relative to the lowest polymorph listed for this composition   403 meV/atom

=====

(5)
A plane-wave DFT calculation with GGA-PBE was carried out for an optimized crystal structure of La2Tc2Mo.

Lattice parameters (Å, degrees): 9.8714 9.8714 9.8714 159.56 159.56 29.06
Last column: nearest neighbours and their distance in Å.
Fractional coordinates of all 5 atoms:
La  0.1051  0.1051  0.0000  4 Mo 3.19, 4 Tc 3.28, 4 La 3.50
La  0.8949  0.8949  0.0000  4 Mo 3.19, 4 Tc 3.28, 4 La 3.50
Tc  0.2500  0.7500  0.5000  4 Tc 2.48
Tc  0.7500  0.2500  0.5000  4 Tc 2.48
Mo  0.5000  0.5000  0.0000  8 La 3.19, 4 Mo 3.50

Results
DFT formation energy   0.5803 eV/atom
Energy relative to the lowest polymorph listed for this composition   352 meV/atom

=====

(6)
A plane-wave DFT calculation with GGA-PBE was carried out for an optimized crystal structure of NaZnAg4.

Lattice parameters (Å, degrees): 7.1771 7.1771 5.3740 100.25 100.25 118.36
Last column: nearest neighbours and their distance in Å.
Fractional coordinates of all 12 atoms:
Na  0.0874  0.9126  0.7500  10 Ag 3.01-3.19
Na  0.9126  0.0874  0.2500  10 Ag 3.01-3.19
Zn  0.4992  0.5008  0.7500  2 Zn 2.69, 8 Ag 2.74-2.90
Zn  0.5008  0.4992  0.2500  2 Zn 2.69, 8 Ag 2.74-2.90
Ag  0.0800  0.3400  0.8687  5 Ag 2.78-3.09, 2 Zn 2.88-2.90, 2 Na 3.01-3.05
Ag  0.2134  0.5885  0.4567  2 Zn 2.74-2.78, 6 Ag 2.78-3.06, 1 Na 3.03
Ag  0.3400  0.0800  0.3687  5 Ag 2.78-3.09, 2 Zn 2.88-2.90, 2 Na 3.01-3.05
Ag  0.4115  0.7866  0.0433  2 Zn 2.74-2.78, 6 Ag 2.78-3.06, 1 Na 3.03
Ag  0.5885  0.2134  0.9567  2 Zn 2.74-2.78, 6 Ag 2.78-3.06, 1 Na 3.03
Ag  0.6600  0.9200  0.6313  5 Ag 2.78-3.09, 2 Zn 2.88-2.90, 2 Na 3.01-3.05
Ag  0.7866  0.4115  0.5433  2 Zn 2.74-2.78, 6 Ag 2.78-3.06, 1 Na 3.03
Ag  0.9200  0.6600  0.1313  5 Ag 2.78-3.09, 2 Zn 2.88-2.90, 2 Na 3.01-3.05

Results
DFT formation energy   0.0044 eV/atom
Energy relative to the lowest polymorph listed for this composition   0 meV/atom

=====

(7)
A plane-wave DFT calculation with GGA-PBE was carried out for an optimized crystal structure of ZnInSiO2.

Lattice parameters (Å, degrees): 4.1022 4.1022 5.3533 90.00 90.00 90.00
Last column: nearest neighbours and their distance in Å.
Fractional coordinates of all 5 atoms:
Zn  0.0000  0.0000  0.0000  2 In 2.68, 4 Si 2.90
In  0.0000  0.0000  0.5000  4 O 2.05
Si  0.5000  0.5000  0.0000  4 Zn 2.90
O  0.0000  0.5000  0.5000  2 In 2.05
O  0.5000  0.0000  0.5000  2 In 2.05

Results
Raw formation energy   0.16 eV per atom

=====

(8)
A plane-wave DFT calculation with GGA-PBE was carried out for an optimized crystal structure of KNiW2.

Lattice parameters (Å, degrees): 6.0465 6.0465 2.6541 99.72 99.72 126.81
Last column: nearest neighbours and their distance in Å.
Fractional coordinates of all 4 atoms:
K  0.0000  0.0000  0.0000  2 K 2.65, 2 Ni 2.71
Ni  0.5000  0.5000  0.0000  2 Ni 2.65, 2 K 2.71
W  0.0000  0.5000  0.5000  4 W 2.65-2.71
W  0.5000  0.0000  0.5000  4 W 2.65-2.71

Results
DFT formation energy   1.3750 eV/atom
Energy relative to the lowest polymorph listed for this composition   659 meV/atom

=====

(9)
A plane-wave DFT calculation with GGA-PBE was carried out for an optimized crystal structure of BeRu2Br.

Lattice parameters (Å, degrees): 4.8467 4.8467 4.8467 143.28 122.58 70.12
Last column: nearest neighbours and their distance in Å.
Fractional coordinates of all 4 atoms:
Be  0.0000  0.0000  0.0000  4 Ru 2.25
Ru  0.2089  0.7089  0.5000  2 Be 2.25
Ru  0.7911  0.2911  0.5000  2 Be 2.25
Br  0.5000  0.5000  0.0000  8 Ru 2.77-2.86, 4 Be 2.78, 2 Br 3.05

Results
Raw formation energy   0.67 eV per atom
Energy relative to the lowest polymorph listed for this composition   352 meV/atom

=====

(10)
A plane-wave DFT calculation with GGA-PBE was carried out for an optimized crystal structure of Ce2PrY6Ho3.

Lattice parameters (Å, degrees): 6.1786 6.1786 11.8015 95.01 95.01 120.00
Last column: nearest neighbours and their distance in Å.
Fractional coordinates of all 12 atoms:
Ce  0.1667  0.8333  0.0000  6 Y 3.56-3.57, 3 Pr 3.57, 3 Ce 3.57
Ce  0.8333  0.1667  0.0000  6 Y 3.56-3.57, 3 Pr 3.57, 3 Ce 3.57
Pr  0.5000  0.5000  0.0000  6 Ce 3.57, 6 Y 3.58
Y  0.0798  0.4159  0.7489  3 Ho 3.54-3.56, 6 Y 3.55-3.60, 2 Ce 3.56-3.57, 1 Pr 3.58
Y  0.2478  0.2478  0.2510  3 Ho 3.54-3.55, 6 Y 3.55-3.60, 2 Ce 3.57, 1 Pr 3.58
Y  0.4159  0.0798  0.7489  3 Ho 3.54-3.56, 6 Y 3.55-3.60, 2 Ce 3.56-3.57, 1 Pr 3.58
Y  0.5841  0.9202  0.2511  3 Ho 3.54-3.56, 6 Y 3.55-3.60, 2 Ce 3.56-3.57, 1 Pr 3.58
Y  0.7522  0.7522  0.7490  3 Ho 3.54-3.55, 6 Y 3.55-3.60, 2 Ce 3.57, 1 Pr 3.58
Y  0.9202  0.5841  0.2511  3 Ho 3.54-3.56, 6 Y 3.55-3.60, 2 Ce 3.56-3.57, 1 Pr 3.58
Ho  0.0000  0.0000  0.5000  6 Y 3.54-3.56, 6 Ho 3.57
Ho  0.3337  0.6663  0.5000  6 Y 3.54-3.56, 6 Ho 3.56-3.57
Ho  0.6663  0.3337  0.5000  6 Y 3.54-3.56, 6 Ho 3.56-3.57

Results
DFT formation energy   0.0552 eV/atom

=====

(11)
A plane-wave DFT calculation with GGA-PBE was carried out for an optimized crystal structure of Fe2Pb.

Lattice parameters (Å, degrees): 7.5321 7.5321 2.9703 90.00 90.00 120.00
Last column: nearest neighbours and their distance in Å.
Fractional coordinates of all 9 atoms:
Fe  0.0000  0.3047  0.0000  4 Pb 2.63-2.73, 2 Fe 2.92
Fe  0.0000  0.6380  0.5000  5 Pb 2.73-2.83, 8 Fe 2.92-2.97
Fe  0.3047  0.0000  0.0000  4 Pb 2.63-2.73, 2 Fe 2.92
Fe  0.3620  0.3620  0.5000  5 Pb 2.73-2.83, 8 Fe 2.92-2.97
Fe  0.6380  0.0000  0.5000  5 Pb 2.73-2.83, 8 Fe 2.92-2.97
Fe  0.6953  0.6953  0.0000  4 Pb 2.63-2.73, 2 Fe 2.92
Pb  0.0000  0.0000  0.5000  9 Fe 2.73, 2 Pb 2.97
Pb  0.3333  0.6667  0.0000  9 Fe 2.63-2.83
Pb  0.6667  0.3333  0.0000  9 Fe 2.63-2.83

Results
DFT formation energy   0.6512 eV/atom

=====

(12)
A plane-wave DFT calculation with GGA-PBE was carried out for an optimized crystal structure of NaSrSbI2.

Lattice parameters (Å, degrees): 5.7753 5.7753 5.9995 90.00 90.00 90.00
Last column: nearest neighbours and their distance in Å.
Fractional coordinates of all 5 atoms:
Na  0.0000  0.0000  0.0000  4 I 2.89, 2 Sb 3.00
Sr  0.5000  0.5000  0.5000  4 Sb 4.08, 8 I 4.16
Sb  0.0000  0.0000  0.5000  2 Na 3.00
I  0.0000  0.5000  0.0000  2 Na 2.89
I  0.5000  0.0000  0.0000  2 Na 2.89

Results
Raw formation energy   -0.49 eV per atom
Energy relative to the lowest polymorph listed for this composition   109 meV/atom